This record from Alexandria via LeMat-Bulk describes an optimized crystal structure of Pr8Ga3HgI4. The functional is PBE.

Output
- Formation energy (no corrections): -0.74 eV/atom
- DOS(E_F): 12.77 states/eV/cell
- Space-group type: C2/m, No. 12

extended XYZ file:
```
16
Lattice="7.6855 -4.4324 0.0000 7.6855 4.4324 0.0000 -5.1280 0.0000 7.6290" Properties=species:S:1:pos:R:3 pbc="T T T"
Pr 3.8029 2.2789 5.4858
Pr -0.0036 0.0000 5.4240
Pr 2.4888 0.0000 2.1429
Pr 6.4402 2.2789 2.1432
Pr 3.8029 -2.2789 5.4858
Pr 7.7543 0.0000 5.4861
Pr 10.2467 0.0000 2.2050
Pr 6.4402 -2.2789 2.1432
Ga -2.5640 0.0000 3.8145
Ga 1.2788 2.2162 3.8145
Ga 1.2788 -2.2162 3.8145
Hg 5.1215 0.0000 3.8145
I 0.0000 0.0000 0.0000
I 3.8428 2.2162 0.0000
I 3.8428 -2.2162 0.0000
I 7.6855 0.0000 0.0000
```